Entry 1:
Entry from Alexandria via LeMat-Bulk: crystalline YFeCl at its relaxed geometry (PBE).

Computed properties:
The value obtained for the density of states at the Fermi level is 5.5 states/eV/cell.

Lattice parameters (Å, degrees): 3.5846 3.5846 6.5904 90.00 90.00 120.00
Space group P3m1 (No. 156)
Unique sites:
Y1 0.0000 0.0000 0.0000 [1 per cell]
Fe1 0.3333 0.6667 0.7000 [1 per cell]
Cl1 0.6667 0.3333 0.2851 [1 per cell]

***

Entry 2:
Entry from Alexandria via LeMat-Bulk: crystalline YFe2Cl at its relaxed geometry (PBE).

Computed properties:
The value obtained for the density of states at the Fermi level is 6.9 states/eV/cell. As for the energy above the lowest structure with this stoichiometry: 597 meV per atom.

Lattice parameters (Å, degrees): 4.3953 4.4080 7.7231 90.00 90.00 90.00
Space group Cmmm (No. 65)
Unique sites:
Y1 0.0000 0.0000 0.0000 [2 per cell]
Fe1 0.0000 0.5000 0.2824 [4 per cell]
Cl1 0.0000 0.0000 0.5000 [2 per cell]

***

Entry 3:
Entry from Alexandria via LeMat-Bulk: crystalline YFe4Cl at its relaxed geometry (PBE).

Computed properties:
The value obtained for the density of states at the Fermi level is 18.0 states/eV/cell.

Lattice parameters (Å, degrees): 7.2629 7.2629 7.2629 90.00 90.00 90.00
Space group F-43m (No. 216)
Unique sites:
Y1 0.0000 0.0000 0.0000 [4 per cell]
Fe1 0.1285 0.1285 0.3715 [16 per cell]
Cl1 0.2500 0.2500 0.7500 [4 per cell]

***

Entry 4:
Entry from Alexandria via LeMat-Bulk: crystalline YFe2Cl at its relaxed geometry (PBE).

Computed properties:
The value obtained for the density of states at the Fermi level is 16.6 states/eV/cell. As for the energy above the lowest structure with this stoichiometry: 462 meV per atom.

Lattice parameters (Å, degrees): 7.6613 7.6613 5.1451 90.00 90.00 90.00
Space group I-42d (No. 122)
Unique sites:
Y1 0.0000 0.0000 0.0000 [4 per cell]
Fe1 0.1947 0.2500 0.6250 [8 per cell]
Cl1 0.0000 0.0000 0.5000 [4 per cell]

***

Entry 5:
Entry from Alexandria via LeMat-Bulk: crystalline YFe2Cl at its relaxed geometry (PBE).

Computed properties:
The value obtained for the density of states at the Fermi level is 5.6 states/eV/cell. As for the energy above the lowest structure with this stoichiometry: 159 meV per atom.

Lattice parameters (Å, degrees): 11.3841 3.4733 3.8469 90.00 109.65 90.00
Space group C2/m (No. 12)
Unique sites:
Y1 0.0000 0.0000 0.0000 [2 per cell]
Fe1 0.2243 0.5000 0.7246 [4 per cell]
Cl1 0.0000 0.5000 0.5000 [2 per cell]

***

Entry 6:
Entry from Alexandria via LeMat-Bulk: crystalline YFe2Cl at its relaxed geometry (PBE).

Computed properties:
The value obtained for the density of states at the Fermi level is 5.0 states/eV/cell. As for the energy above the lowest structure with this stoichiometry: 0 meV per atom.

Lattice parameters (Å, degrees): 3.7064 3.7064 6.5323 90.00 90.00 120.00
Space group P3m1 (No. 156)
Unique sites:
Y1 0.0000 0.0000 0.0000 [1 per cell]
Fe1 0.3333 0.6667 0.6550 [1 per cell]
Fe2 0.6667 0.3333 0.7301 [1 per cell]
Cl1 0.3333 0.6667 0.2864 [1 per cell]

***

Entry 7:
Entry from Alexandria via LeMat-Bulk: crystalline YFe2Cl at its relaxed geometry (PBE).

Computed properties:
The value obtained for the density of states at the Fermi level is 9.6 states/eV/cell. As for the energy above the lowest structure with this stoichiometry: 515 meV per atom.

Lattice parameters (Å, degrees): 5.1564 9.4320 3.2453 90.00 90.00 90.00
Space group Cmmm (No. 65)
Unique sites:
Y1 0.0000 0.0000 0.0000 [2 per cell]
Fe1 0.2500 0.2500 0.5000 [4 per cell]
Cl1 0.0000 0.5000 0.0000 [2 per cell]

***

Entry 8:
Entry from Alexandria via LeMat-Bulk: crystalline YFe2Cl at its relaxed geometry (PBE).

Computed properties:
The value obtained for the density of states at the Fermi level is 8.1 states/eV/cell. As for the energy above the lowest structure with this stoichiometry: 368 meV per atom.

Lattice parameters (Å, degrees): 3.4366 5.1886 8.1152 90.00 90.00 90.00
Space group Imm2 (No. 44)
Unique sites:
Y1 0.0000 0.0000 0.0000 [2 per cell]
Fe1 0.0000 0.0000 0.4982 [2 per cell]
Fe2 0.0000 0.5000 0.8041 [2 per cell]
Cl1 0.0000 0.5000 0.2085 [2 per cell]

***

no.,theoretical density (g/cm3),V (Å³/cell),E_form (uncorrected) (eV/atom)
1,4.08,73.3,-0.268
2,5.24,149.6,0.348
3,6.03,383.1,0.215
4,5.19,302.0,0.214
5,5.47,143.3,-0.089
6,5.04,77.7,-0.248
7,4.97,157.8,0.267
8,5.42,144.7,0.120